A plane-wave DFT calculation with PBE was carried out for a relaxed Ti3InH crystal.

Total moment (μB/cell): 0.00
Raw total energy (eV/atom): -6.18
Space-group type: No. 2

Unit cell a=5.738 b=5.934 c=5.633 alpha=77.84 beta=117.16 gamma=73.36
Sites, in units of the cell vectors:
1 In 0.785 0.736 0.806
2 In 0.353 0.062 0.884
3 Ti 0.860 0.545 0.384
4 Ti 0.781 0.246 0.814
5 Ti 0.278 0.252 0.306
6 Ti 0.358 0.552 0.875
7 Ti 0.826 0.081 0.385
8 Ti 0.312 0.716 0.305
9 H 0.077 0.739 0.472
10 H 0.061 0.058 0.217